GGA-PBE CrSbOs2, relaxed; final energy = -34.19 eV/f.u.; raw formation energy = 2.01 eV per formula unit; symmetry = P4mm, No. 99; V = 15.42 A^3/atom; M_tot = 0.221 μB/atom; crystal system = tetragonal
1.0
2.9309 0.0000 0.0000
0.0000 2.9309 0.0000
0.0000 0.0000 7.1805
Cr Sb Os
1 1 2
direct
0.0000 0.0000 0.0000
0.5000 0.5000 0.7409
0.0000 0.0000 0.4697
0.5000 0.5000 0.2258